Density functional theory data (PBE) for a relaxed structure of SmBiN2O.

Lattice parameters (Å, degrees): 8.3783 8.2352 11.7579 90.00 133.66 90.00
Fractional positions:
Bi1 0.4759 0.4930 0.2346
Bi2 0.9986 0.4949 0.2390
Bi3 0.0014 0.9949 0.2610
Bi4 0.5241 0.9930 0.2654
Bi5 0.4759 0.0070 0.7346
Bi6 0.9986 0.0051 0.7390
Bi7 0.0014 0.5051 0.7610
Bi8 0.5242 0.5070 0.7654
N1 0.6947 0.4278 0.0021
N2 0.9399 0.7471 0.1553
N3 0.2110 0.4032 0.2088
N4 0.5641 0.2420 0.2192
N5 0.4359 0.7420 0.2808
N6 0.7890 0.9032 0.2912
N7 0.0601 0.2471 0.3447
N8 0.3053 0.9278 0.4979
N9 0.6947 0.0722 0.5021
N10 0.9399 0.7529 0.6553
N11 0.2110 0.0968 0.7088
N12 0.5641 0.2580 0.7192
N13 0.4359 0.7580 0.7808
N14 0.7890 0.5968 0.7912
N15 0.0601 0.2529 0.8447
N16 0.3053 0.5722 0.9979
O1 0.6985 0.0594 0.0031
O2 0.1780 0.0342 0.1757
O3 0.8220 0.5342 0.3243
O4 0.3015 0.5594 0.4969
O5 0.6985 0.4406 0.5031
O6 0.1780 0.4658 0.6757
O7 0.8220 0.9658 0.8243
O8 0.3015 0.9406 0.9969
Sm1 0.0600 0.7713 0.0185
Sm2 0.5512 0.7539 0.0303
Sm3 0.4488 0.2539 0.4697
Sm4 0.9400 0.2713 0.4815
Sm5 0.0600 0.7287 0.5185
Sm6 0.5512 0.7461 0.5303
Sm7 0.4488 0.2461 0.9697
Sm8 0.9400 0.2287 0.9815

Calculated total energy = -266.38 eV per cell